First-principles (PBE) data for a relaxed structure of Sr2TeF, as listed in Alexandria. Values from VASP.

Quantum ESPRESSO input file:
```
&SYSTEM
  ibrav = 0, nat = 8, ntyp = 3
/
ATOMIC_SPECIES
Sr 87.62 Sr.upf
Te 127.60 Te.upf
F 19.00 F.upf
CELL_PARAMETERS angstrom
-3.877 3.877 4.022
3.877 -3.877 4.022
3.877 3.877 -4.022
ATOMIC_POSITIONS angstrom
Sr 5.815 1.320 -1.005
Sr 1.320 1.938 1.005
Sr -1.938 2.556 3.016
Sr 2.556 1.938 5.027
Te 3.877 0.000 2.011
Te 0.000 0.000 4.022
F 0.000 0.000 0.000
F 0.000 3.877 2.011
```

Output
DFT total energy	-4.1441	eV/atom
offset from the most stable computed form	0.000	eV/atom
Fermi-level density of states	0.414	states/eV per atom

***

First-principles (PBE) data for a relaxed structure of CaTa2Cd, as listed in Alexandria. Values from VASP.

Quantum ESPRESSO input file:
```
&SYSTEM
  ibrav = 0, nat = 4, ntyp = 3
/
ATOMIC_SPECIES
Ca 40.08 Ca.upf
Ta 180.95 Ta.upf
Cd 112.41 Cd.upf
CELL_PARAMETERS angstrom
1.807 -2.369 0.000
1.807 2.369 0.000
0.000 0.000 10.029
ATOMIC_POSITIONS angstrom
Ca 0.000 0.000 0.000
Ta 0.000 0.000 4.891
Ta 1.807 0.000 2.768
Cd 1.807 0.000 7.338
```

Output
DFT total energy	-6.3607	eV/atom
E_form	295	meV per atom
Fermi-level density of states	0.917	states/eV per atom

***

First-principles (PBE) data for a relaxed structure of Zr2CrAg, as listed in Alexandria. Values from VASP.

Quantum ESPRESSO input file:
```
&SYSTEM
  ibrav = 0, nat = 4, ntyp = 3
/
ATOMIC_SPECIES
Zr 91.22 Zr.upf
Cr 52.00 Cr.upf
Ag 107.87 Ag.upf
CELL_PARAMETERS angstrom
-2.084 2.084 4.463
2.084 -2.084 4.463
2.084 2.084 -4.463
ATOMIC_POSITIONS angstrom
Zr 0.000 0.000 0.000
Zr 0.000 2.084 2.231
Cr 0.000 0.000 4.463
Ag 2.084 0.000 2.231
```

Output
DFT total energy	-7.1793	eV/atom
offset from the most stable computed form	0.183	eV/atom
E_form	213	meV per atom
Fermi-level density of states	0.954	states/eV per atom

***

First-principles (PBE) data for a relaxed structure of MnAuSe2, as listed in Alexandria. Values from VASP.

Quantum ESPRESSO input file:
```
&SYSTEM
  ibrav = 0, nat = 8, ntyp = 3
/
ATOMIC_SPECIES
Mn 54.94 Mn.upf
Au 196.97 Au.upf
Se 78.96 Se.upf
CELL_PARAMETERS angstrom
3.520 -3.475 0.000
3.520 3.475 0.000
-2.912 0.000 6.066
ATOMIC_POSITIONS angstrom
Mn 2.064 2.345 3.033
Mn 3.520 -2.345 0.000
Au 1.056 0.450 5.850
Au 2.512 -0.450 2.817
Se 2.126 2.251 0.614
Se 0.128 0.759 2.398
Se -1.328 -0.759 5.431
Se 0.670 -2.251 3.647
```

Output
DFT total energy	-4.7300	eV/atom
Fermi-level density of states	0.412	states/eV per atom

***

First-principles (PBE) data for a relaxed structure of KBaLa2, as listed in Alexandria. Values from VASP.

Quantum ESPRESSO input file:
```
&SYSTEM
  ibrav = 0, nat = 4, ntyp = 3
/
ATOMIC_SPECIES
K 39.10 K.upf
Ba 137.33 Ba.upf
La 138.91 La.upf
CELL_PARAMETERS angstrom
0.000 4.541 4.541
4.541 0.000 4.541
4.541 4.541 0.000
ATOMIC_POSITIONS angstrom
K 0.000 0.000 0.000
Ba 4.541 4.541 4.541
La 2.270 2.270 2.270
La 6.811 6.811 6.811
```

Output
DFT total energy	-2.7325	eV/atom
offset from the most stable computed form	0.332	eV/atom
E_form	486	meV per atom
Fermi-level density of states	1.594	states/eV per atom

***

First-principles (PBE) data for a relaxed structure of DyTiSb, as listed in Alexandria. Values from VASP.

Quantum ESPRESSO input file:
```
&SYSTEM
  ibrav = 0, nat = 6, ntyp = 3
/
ATOMIC_SPECIES
Dy 162.50 Dy.upf
Ti 47.87 Ti.upf
Sb 121.76 Sb.upf
CELL_PARAMETERS angstrom
-1.930 2.418 8.282
1.930 -2.418 8.282
1.930 2.418 -8.282
ATOMIC_POSITIONS angstrom
Dy 0.000 0.000 2.668
Dy 0.000 0.000 13.895
Ti 1.930 1.144 0.000
Ti 0.000 1.274 8.282
Sb 0.000 0.000 5.727
Sb 0.000 0.000 10.836
```

Output
DFT total energy	-5.8764	eV/atom
Fermi-level density of states	1.075	states/eV per atom